The following is a GGA-PBE calculation of an optimized crystal structure of Nd3Dy3MgS8, from the Alexandria database.

Results
ΔE_f (raw) = -1.972 eV/atom

Geometry as CIF:
```
data_Nd3Dy3MgS8
_cell_length_a 7.8766
_cell_length_b 7.8766
_cell_length_c 19.6625
_cell_angle_alpha 90.00
_cell_angle_beta 90.00
_cell_angle_gamma 120.00
_space_group_name_H-M_alt 'R -3 m'
_space_group_IT_number 166
_space_group_name_Hall '-R 3 2"'
loop_
_atom_site_label
_atom_site_type_symbol
_atom_site_fract_x
_atom_site_fract_y
_atom_site_fract_z
Nd1 Nd 0.0000 0.5000 0.0000
Dy1 Dy 0.0000 0.5000 0.5000
Mg1 Mg 0.0000 0.0000 0.5000
S1 S 0.0000 0.0000 0.2452
S2 S 0.0094 0.5047 0.2431
```


The following is a GGA-PBE calculation of an optimized crystal structure of Pm2SmIn4, from the Alexandria database.

Results
DFT formation energy = -317 meV/atom

Geometry as CIF:
```
data_Pm2SmIn4
_cell_length_a 15.8691
_cell_length_b 5.3379
_cell_length_c 5.3380
_cell_angle_alpha 90.00
_cell_angle_beta 109.60
_cell_angle_gamma 90.00
_space_group_name_H-M_alt 'C 1 2/m 1'
_space_group_IT_number 12
loop_
_space_group_symop_operation_xyz
'x,y,z'
'-x,-y,-z'
'-x,y,-z'
'x,-y,z'
'x+1/2,y+1/2,z'
'-x+1/2,-y+1/2,-z'
'-x+1/2,y+1/2,-z'
'x+1/2,-y+1/2,z'
loop_
_atom_site_label
_atom_site_type_symbol
_atom_site_fract_x
_atom_site_fract_y
_atom_site_fract_z
Pm1 Pm 0.2463 0.0000 0.2464
Sm1 Sm 0.0000 0.5000 0.5000
In1 In 0.1138 0.0000 0.6141
In2 In 0.1138 0.5000 0.1138
```


The following is a GGA-PBE calculation of an optimized crystal structure of Zr2TlV, from the Alexandria database.

Results
DFT formation energy = 641 meV/atom
E above lowest polymorph = 604 meV/atom

Geometry as CIF:
```
data_Zr2TlV
_cell_length_a 4.1054
_cell_length_b 4.1054
_cell_length_c 20.8984
_cell_angle_alpha 90.00
_cell_angle_beta 90.00
_cell_angle_gamma 90.00
_space_group_name_H-M_alt 'I -4 2 d'
_space_group_IT_number 122
_space_group_name_Hall 'I -4 2bw'
loop_
_atom_site_label
_atom_site_type_symbol
_atom_site_fract_x
_atom_site_fract_y
_atom_site_fract_z
Zr1 Zr 0.2408 0.2500 0.1250
Tl1 Tl 0.0000 0.0000 0.5000
V1 V 0.0000 0.0000 0.0000
```


The following is a GGA-PBE calculation of an optimized crystal structure of Ba2MgHg, from the Alexandria database.

Results
DFT formation energy = -194 meV/atom
E above lowest polymorph = 98 meV/atom

Geometry as CIF:
```
data_Ba2MgHg
_cell_length_a 4.1548
_cell_length_b 4.1548
_cell_length_c 9.3873
_cell_angle_alpha 90.00
_cell_angle_beta 90.00
_cell_angle_gamma 90.00
_space_group_name_H-M_alt 'P 4 m m'
_space_group_IT_number 99
loop_
_space_group_symop_operation_xyz
'x,y,z'
'-y,x,z'
'-x,-y,z'
'y,-x,z'
'-x,y,z'
'y,x,z'
'x,-y,z'
'-y,-x,z'
loop_
_atom_site_label
_atom_site_type_symbol
_atom_site_fract_x
_atom_site_fract_y
_atom_site_fract_z
Ba1 Ba 0.0000 0.0000 0.0000
Ba2 Ba 0.5000 0.5000 0.3903
Mg1 Mg 0.5000 0.5000 0.7603
Hg1 Hg 0.0000 0.0000 0.6180
```


| no. | final energy (eV/atom) |
| --- | --- |
| 1 | -6.154 |
| 2 | -3.913 |
| 3 | -6.505 |
| 4 | -1.630 |